No. 1
# Sm5Tl2Ga

Crystalline Sm5Tl2Ga at its relaxed geometry (PBE-GGA, Alexandria via LeMat-Bulk).

The structure in extended XYZ format:
```
16
Lattice="-1.036 4.988 -6.309 -3.105 -6.117 -4.325 -4.587 2.236 7.732" Properties=species:S:1:pos:R:3 pbc="T T T"
Sm -5.796 -0.044 -0.830
Sm -5.343 -1.242 -7.063
Sm 0.000 0.000 0.000
Sm -2.070 -0.564 -5.317
Sm -3.385 2.349 4.160
Sm -4.414 3.836 0.294
Sm -4.767 -1.531 3.036
Sm -4.314 -2.729 -3.196
Sm -3.961 2.638 -5.939
Sm -2.932 1.151 -2.072
Tl -1.282 -1.607 -2.422
Tl -1.059 2.346 -4.545
Tl -3.081 -3.475 -6.090
Tl -2.859 0.478 -8.213
Ga -5.399 0.271 -4.110
Ga -3.329 0.836 1.207
```

Values from the calculation:
**Energy relative to the elements**: -289 meV/atom
**Space group**: I4/mcm
**Magnetic moment**: 0.00 μB per formula unit
**Energy above the most stable polymorph in this dataset**: 73 meV per atom
**Raw total energy**: -67.3 eV per cell

No. 2
# LiSc6Pd12

Crystalline LiSc6Pd12 at its relaxed geometry (PBE-GGA, Alexandria via LeMat-Bulk).

The structure in extended XYZ format:
```
19
Lattice="-1.425 5.003 -4.566 -6.357 -2.739 -0.025 -1.002 3.929 5.610" Properties=species:S:1:pos:R:3 pbc="T T T"
Li 0.000 0.000 0.000
Sc -6.656 2.123 -1.743
Sc -3.177 3.460 -2.579
Sc -5.256 -0.084 1.042
Sc -2.128 4.070 2.762
Sc -5.607 2.733 3.598
Sc -3.528 6.277 -0.024
Pd -5.087 4.368 -0.938
Pd -6.281 2.381 0.847
Pd -4.635 4.534 1.947
Pd -3.697 1.825 1.957
Pd -2.503 3.812 0.172
Pd -4.149 1.659 -0.929
Pd -1.098 1.266 1.783
Pd -6.369 6.454 1.311
Pd -7.934 4.121 2.004
Pd -7.686 4.927 -0.764
Pd -2.415 -0.262 -0.292
Pd -0.850 2.072 -0.985
```

Values from the calculation:
**Energy relative to the elements**: -699 meV/atom
**Space group**: R-3
**Magnetic moment**: 0.00 μB per formula unit
**Raw total energy**: -115.5 eV per cell

No. 3
# Na8InTe6

Crystalline Na8InTe6 at its relaxed geometry (PBE-GGA, Alexandria via LeMat-Bulk).

The structure in extended XYZ format:
```
30
Lattice="-5.829 5.529 -5.153 -5.781 -5.486 0.654 -4.395 5.990 11.399" Properties=species:S:1:pos:R:3 pbc="T T T"
Na -6.490 7.874 8.687
Na -8.328 3.222 2.303
Na -10.717 1.815 -2.334
Na -7.470 0.509 7.724
Na -5.034 2.821 7.448
Na -7.372 4.989 -2.713
Na -9.745 2.597 5.900
Na -8.523 -0.162 -0.300
Na -5.270 2.925 -0.668
Na -7.217 4.995 5.614
Na -12.638 5.025 6.150
Na -7.059 -0.641 3.158
Na -4.451 1.833 2.863
Na -9.465 8.036 5.791
Na -3.799 4.554 4.612
Na -7.307 1.485 -3.248
In -6.485 7.015 1.518
In -8.602 4.449 10.170
Te -4.311 4.131 -3.453
Te -6.812 1.930 4.860
Te -4.737 5.844 7.150
Te -8.305 2.833 -0.764
Te -1.611 2.189 4.122
Te -12.495 7.939 5.025
Te -4.529 4.967 1.629
Te -9.627 5.229 7.647
Te -6.380 -2.249 0.520
Te -11.291 3.870 3.532
Te -8.691 6.338 3.238
Te -3.200 0.770 0.160
```

Values from the calculation:
**Space group**: Pmn2_1
**Raw formation energy**: -720 meV/atom
**Magnetic moment**: 0.00 μB per formula unit
**Raw total energy**: -85.9 eV per cell